Entry from Alexandria: Cs2CaAsBr6 after structural relaxation (PBE).

Summary:
Formation energy from raw total energies: -1.31 eV/atom
SG: I4/mmm, No. 139
ρ: 3.79 g/cm³

Lattice parameters (Å, degrees): 8.227 8.227 8.054 59.29 59.29 90.00
Fractional positions:
1 Ca 0.500 0.500 0.000
2 Br 0.747 0.253 0.000
3 Br 0.253 0.253 0.000
4 Br 0.763 0.763 0.474
5 Br 0.237 0.237 0.526
6 Br 0.253 0.747 0.000
7 Br 0.747 0.747 0.000
8 Cs 0.250 0.750 0.500
9 Cs 0.750 0.250 0.500
10 As 0.000 0.000 0.000



Entry from Alexandria: Co2GeS after structural relaxation (PBE).

Summary:
Formation energy from raw total energies: 0.02 eV/atom
SG: I-42d, No. 122
ρ: 5.70 g/cm³

Lattice parameters (Å, degrees): 4.736 4.736 6.685 69.25 69.25 90.00
Fractional positions:
1 S 0.500 0.500 0.000
2 S 0.250 0.750 0.500
3 Ge 0.000 0.000 0.000
4 Ge 0.750 0.250 0.500
5 Co 0.172 0.625 0.250
6 Co 0.578 0.125 0.250
7 Co 0.875 0.828 0.750
8 Co 0.375 0.422 0.750



Entry from Alexandria: Cu2RhCl5 after structural relaxation (PBE).

Summary:
Formation energy from raw total energies: -0.40 eV/atom
SG: Cm, No. 8
ρ: 3.57 g/cm³

Lattice parameters (Å, degrees): 5.618 6.359 6.361 74.51 66.43 66.43
Fractional positions:
1 Cl 0.661 0.968 0.968
2 Cl 0.389 0.748 0.748
3 Cl 0.066 0.715 0.318
4 Cl 0.742 0.280 0.280
5 Cl 0.066 0.319 0.715
6 Cu 0.519 0.636 0.101
7 Cu 0.519 0.101 0.636
8 Rh 0.039 0.010 0.010



Entry from Alexandria: NaWBr6 after structural relaxation (PBE).

Summary:
Formation energy from raw total energies: -0.70 eV/atom
SG: C2/c, No. 15
ρ: 4.15 g/cm³

Lattice parameters (Å, degrees): 7.445 7.445 9.909 90.23 90.23 91.98
Fractional positions:
1 W 0.500 0.000 0.000
2 W 0.000 0.500 0.500
3 Br 0.159 0.201 0.502
4 Br 0.841 0.799 0.498
5 Br 0.457 0.926 0.753
6 Br 0.926 0.457 0.253
7 Br 0.074 0.543 0.747
8 Br 0.201 0.159 0.002
9 Br 0.714 0.344 0.560
10 Br 0.656 0.286 0.940
11 Br 0.799 0.841 0.998
12 Br 0.344 0.714 0.060
13 Br 0.286 0.656 0.440
14 Br 0.543 0.074 0.247
15 Na 0.954 0.046 0.250
16 Na 0.046 0.954 0.750



Entry from Alexandria: LiCuP2 after structural relaxation (PBE).

Summary:
Formation energy: 0.043 eV/atom
SG: P4mm, No. 99
ρ: 4.01 g/cm³

Lattice parameters (Å, degrees): 3.403 3.403 4.729 90.00 90.00 90.00
Fractional positions:
1 Li 0.500 0.500 0.739
2 P 0.500 0.500 0.227
3 P 0.000 0.000 0.019
4 Cu 0.000 0.000 0.515



Entry from Alexandria: VMoW after structural relaxation (PBE).

Summary:
Formation energy: -0.085 eV/atom
SG: P2_1/m, No. 11
ρ: 12.07 g/cm³

Lattice parameters (Å, degrees): 6.725 6.740 8.079 146.55 138.12 26.79
Fractional positions:
1 Mo 0.413 0.164 0.750
2 Mo 0.587 0.836 0.250
3 W 0.913 0.164 0.250
4 W 0.087 0.836 0.750
5 V 0.249 0.499 0.250
6 V 0.751 0.501 0.750



Entry from Alexandria: NaErUO4 after structural relaxation (PBE).

Summary:
Formation energy from raw total energies: -2.95 eV/atom
SG: Imma, No. 74
ρ: 7.05 g/cm³

Lattice parameters (Å, degrees): 6.990 6.889 6.838 119.76 90.00 120.49
Fractional positions:
1 O 0.266 0.532 0.731
2 O 0.736 0.046 0.273
3 O 0.266 0.532 0.302
4 O 0.734 0.468 0.269
5 O 0.734 0.468 0.698
6 O 0.691 0.954 0.727
7 O 0.309 0.046 0.273
8 O 0.264 0.954 0.727
9 Er 0.500 0.000 0.500
10 Er 0.500 0.000 0.000
11 U 0.000 0.500 0.500
12 U 0.500 0.500 0.500
13 Na 0.880 0.760 0.130
14 Na 0.120 0.240 0.870



Entry from Alexandria: CeDy6Y12 after structural relaxation (PBE).

Summary:
Formation energy: 0.144 eV/atom
SG: R-3m, No. 166
ρ: 5.72 g/cm³

Lattice parameters (Å, degrees): 8.684 8.684 8.684 98.07 98.07 98.07
Fractional positions:
1 Dy 0.139 0.139 0.407
2 Dy 0.407 0.139 0.139
3 Dy 0.593 0.861 0.861
4 Dy 0.139 0.407 0.139
5 Dy 0.861 0.861 0.593
6 Dy 0.861 0.593 0.861
7 Y 0.737 0.263 0.000
8 Y 0.168 0.591 0.591
9 Y 0.591 0.168 0.591
10 Y 0.409 0.409 0.832
11 Y 0.000 0.737 0.263
12 Y 0.263 0.737 0.000
13 Y 0.263 0.000 0.737
14 Y 0.591 0.591 0.168
15 Y 0.409 0.832 0.409
16 Y 0.737 0.000 0.263
17 Y 0.832 0.409 0.409
18 Y 0.000 0.263 0.737
19 Ce 0.000 0.000 0.000